This record from the Alexandria database describes an optimized crystal structure of YbRh3C. The functional is PBE-GGA.

a b c (Å): 4.1804 4.1804 4.1804
angles (deg): 90.00 90.00 90.00
Atoms (fractional coordinates):
Yb1 0.0000 0.0000 0.0000
Rh1 0.0000 0.5000 0.5000
Rh2 0.5000 0.0000 0.5000
Rh3 0.5000 0.5000 0.0000
C1 0.5000 0.5000 0.5000

The uncorrected energy comes out at -6.89 eV/atom. For the energy of formation, the calculation gives -0.325 eV per atom. The calculation puts the density of states at the Fermi level at 3.90 states/eV per atom.

This record from the Alexandria database describes an optimized crystal structure of Zn2RhC. The functional is PBE-GGA.

a b c (Å): 7.4532 7.4532 4.0185
angles (deg): 90.00 90.00 90.00
Atoms (fractional coordinates):
Zn1 0.1326 0.7500 0.1250
Zn2 0.2500 0.1326 0.8750
Zn3 0.2500 0.3674 0.3750
Zn4 0.3674 0.7500 0.6250
Zn5 0.6326 0.2500 0.6250
Zn6 0.7500 0.6326 0.3750
Zn7 0.7500 0.8674 0.8750
Zn8 0.8674 0.2500 0.1250
Rh1 0.0000 0.0000 0.5000
Rh2 0.0000 0.5000 0.7500
Rh3 0.5000 0.0000 0.2500
Rh4 0.5000 0.5000 0.0000
C1 0.0000 0.0000 0.0000
C2 0.0000 0.5000 0.2500
C3 0.5000 0.0000 0.7500
C4 0.5000 0.5000 0.5000

The uncorrected energy comes out at -4.25 eV/atom. For the energy of formation, the calculation gives 0.526 eV per atom. The calculation puts the density of states at the Fermi level at 0.40 states/eV per atom.

Question: Which of these has the highest uncorrected energy?
Answer: Zn2RhC